# MgFeN2F

A relaxed MgFeN2F crystal (GGA+U, Alexandria).

a = 4.0882 Å, b = 4.0882 Å, c = 3.7373 Å
α = 90.00°, β = 90.00°, γ = 90.00°
Last column: nearest neighbours and their distance in Å.
Element x y z (fractional)
1 Mg 0.0000 0.0000 0.0000  2 F 1.87, 4 N 2.04
2 Fe 0.5000 0.5000 0.5000  8 N 2.77, 4 F 2.89
3 N 0.0000 0.5000 0.0000  2 Mg 2.04
4 N 0.5000 0.0000 0.0000  2 Mg 2.04
5 F 0.0000 0.0000 0.5000  2 Mg 1.87

SG: P4/mmm
Final energy in eV/atom: -4.741
Total moment in μB per formula unit: 6.5